No. 1
# SrTl2Rh PBE relaxed
# - uncorrected energy (eV/atom) = -3.6043
# - energy of formation (meV/atom) = -163
data_SrTl2Rh
_space_group_name_H-M_alt 'P 1'
_space_group_IT_number 1
_cell_length_a 6.311
_cell_length_b 6.311
_cell_length_c 6.311
_cell_angle_alpha 43.48
_cell_angle_beta 43.48
_cell_angle_gamma 43.48
loop_
_space_group_symop_operation_xyz
'x,y,z'
loop_
_atom_site_label
_atom_site_type_symbol
_atom_site_fract_x
_atom_site_fract_y
_atom_site_fract_z
_atom_site_occupancy
Tl1 Tl 0.531 0.531 0.531 1
Rh1 Rh 0.250 0.250 0.250 1
Tl2 Tl 0.969 0.969 0.969 1
Sr1 Sr 0.750 0.750 0.750 1


No. 2
# Sr3TlRh PBE relaxed
# - uncorrected energy (eV/atom) = -3.1426
# - energy of formation (meV/atom) = -190
# - energy above the most stable polymorph in this dataset (meV per atom) = 77
data_Sr3TlRh
_space_group_name_H-M_alt 'P 1'
_space_group_IT_number 1
_cell_length_a 5.803
_cell_length_b 5.803
_cell_length_c 5.803
_cell_angle_alpha 90.00
_cell_angle_beta 90.00
_cell_angle_gamma 90.00
loop_
_space_group_symop_operation_xyz
'x,y,z'
loop_
_atom_site_label
_atom_site_type_symbol
_atom_site_fract_x
_atom_site_fract_y
_atom_site_fract_z
_atom_site_occupancy
Sr1 Sr 0.500 0.000 0.000 1
Sr2 Sr 0.000 0.000 0.500 1
Rh1 Rh 0.000 0.000 0.000 1
Tl1 Tl 0.500 0.500 0.500 1
Sr3 Sr 0.000 0.500 0.000 1


No. 3
# Sr2Tl9Rh3 PBE relaxed
# - uncorrected energy (eV/atom) = -3.4599
# - energy of formation (meV/atom) = -123
data_Sr2Tl9Rh3
_space_group_name_H-M_alt 'P 1'
_space_group_IT_number 1
_cell_length_a 8.588
_cell_length_b 8.588
_cell_length_c 11.929
_cell_angle_alpha 89.98
_cell_angle_beta 110.89
_cell_angle_gamma 120.34
loop_
_space_group_symop_operation_xyz
'x,y,z'
loop_
_atom_site_label
_atom_site_type_symbol
_atom_site_fract_x
_atom_site_fract_y
_atom_site_fract_z
_atom_site_occupancy
Tl1 Tl 0.460 0.807 0.445 1
Sr1 Sr 0.338 0.248 0.750 1
Sr2 Sr 0.662 0.752 0.250 1
Tl2 Tl 0.670 0.686 0.751 1
Tl3 Tl 0.862 0.015 0.055 1
Tl4 Tl 0.330 0.314 0.249 1
Tl5 Tl 0.216 0.684 0.077 1
Tl6 Tl 0.892 0.861 0.577 1
Tl7 Tl 0.564 0.369 0.078 1
Tl8 Tl 0.138 0.985 0.945 1
Rh1 Rh 0.167 0.833 0.502 1
Sr3 Sr 0.997 0.587 0.750 1
Tl9 Tl 0.565 0.082 0.251 1
Tl10 Tl 0.209 0.514 0.578 1
Tl11 Tl 0.540 0.193 0.555 1
Tl12 Tl 0.907 0.157 0.750 1
Rh2 Rh 0.500 0.500 0.500 1
Tl13 Tl 0.791 0.486 0.422 1
Rh3 Rh 0.169 0.335 0.002 1
Rh4 Rh 0.833 0.167 0.498 1
Tl14 Tl 0.784 0.316 0.923 1
Rh5 Rh 0.831 0.665 0.998 1
Tl15 Tl 0.436 0.631 0.922 1
Tl16 Tl 0.435 0.918 0.749 1
Sr4 Sr 0.003 0.413 0.250 1
Tl17 Tl 0.093 0.843 0.250 1
Rh6 Rh 0.500 0.000 0.000 1
Tl18 Tl 0.108 0.139 0.423 1


No. 4
# SrTl2Rh PBE relaxed
# - uncorrected energy (eV/atom) = -3.5318
# - energy of formation (meV/atom) = -90
data_SrTl2Rh
_space_group_name_H-M_alt 'P 1'
_space_group_IT_number 1
_cell_length_a 5.506
_cell_length_b 5.506
_cell_length_c 5.506
_cell_angle_alpha 129.22
_cell_angle_beta 129.22
_cell_angle_gamma 74.66
loop_
_space_group_symop_operation_xyz
'x,y,z'
loop_
_atom_site_label
_atom_site_type_symbol
_atom_site_fract_x
_atom_site_fract_y
_atom_site_fract_z
_atom_site_occupancy
Rh1 Rh 0.250 0.750 0.500 1
Tl1 Tl 0.500 0.500 0.000 1
Sr1 Sr 0.750 0.250 0.500 1
Tl2 Tl 0.000 0.000 0.000 1


No. 5
# Sr2Tl2Rh PBE relaxed
# - uncorrected energy (eV/atom) = -3.2303
# - energy of formation (meV/atom) = -141
# - energy above the most stable polymorph in this dataset (meV per atom) = 213
data_Sr2Tl2Rh
_space_group_name_H-M_alt 'P 1'
_space_group_IT_number 1
_cell_length_a 7.502
_cell_length_b 7.502
_cell_length_c 5.259
_cell_angle_alpha 90.00
_cell_angle_beta 90.00
_cell_angle_gamma 90.00
loop_
_space_group_symop_operation_xyz
'x,y,z'
loop_
_atom_site_label
_atom_site_type_symbol
_atom_site_fract_x
_atom_site_fract_y
_atom_site_fract_z
_atom_site_occupancy
Tl1 Tl 0.856 0.644 0.000 1
Rh1 Rh 0.000 0.000 0.000 1
Tl2 Tl 0.356 0.856 0.000 1
Sr1 Sr 0.178 0.678 0.500 1
Rh2 Rh 0.500 0.500 0.000 1
Tl3 Tl 0.144 0.356 0.000 1
Tl4 Tl 0.644 0.144 0.000 1
Sr2 Sr 0.322 0.178 0.500 1
Sr3 Sr 0.678 0.822 0.500 1
Sr4 Sr 0.822 0.322 0.500 1


No. 6
# SrTl2Rh PBE relaxed
# - uncorrected energy (eV/atom) = -3.4415
# - energy of formation (meV/atom) = 0
data_SrTl2Rh
_space_group_name_H-M_alt 'P 1'
_space_group_IT_number 1
_cell_length_a 5.237
_cell_length_b 5.237
_cell_length_c 5.237
_cell_angle_alpha 60.00
_cell_angle_beta 60.00
_cell_angle_gamma 60.00
loop_
_space_group_symop_operation_xyz
'x,y,z'
loop_
_atom_site_label
_atom_site_type_symbol
_atom_site_fract_x
_atom_site_fract_y
_atom_site_fract_z
_atom_site_occupancy
Sr1 Sr 0.750 0.750 0.750 1
Rh1 Rh 0.500 0.500 0.500 1
Tl1 Tl 0.000 0.000 0.000 1
Tl2 Tl 0.250 0.250 0.250 1


No. 7
# Sr3Tl4Rh4 PBE relaxed
# - uncorrected energy (eV/atom) = -4.2806
# - energy of formation (meV/atom) = -288
# - energy above the most stable polymorph in this dataset (meV per atom) = 0
data_Sr3Tl4Rh4
_space_group_name_H-M_alt 'P 1'
_space_group_IT_number 1
_cell_length_a 7.190
_cell_length_b 7.190
_cell_length_c 7.190
_cell_angle_alpha 109.47
_cell_angle_beta 109.47
_cell_angle_gamma 109.47
loop_
_space_group_symop_operation_xyz
'x,y,z'
loop_
_atom_site_label
_atom_site_type_symbol
_atom_site_fract_x
_atom_site_fract_y
_atom_site_fract_z
_atom_site_occupancy
Tl1 Tl 0.000 0.000 0.599 1
Rh1 Rh 0.000 0.000 0.232 1
Rh2 Rh 0.232 0.000 0.000 1
Sr1 Sr 0.500 0.500 0.000 1
Sr2 Sr 0.000 0.500 0.500 1
Tl2 Tl 0.401 0.401 0.401 1
Tl3 Tl 0.599 0.000 0.000 1
Sr3 Sr 0.500 0.000 0.500 1
Tl4 Tl 0.000 0.599 0.000 1
Rh3 Rh 0.768 0.768 0.768 1
Rh4 Rh 0.000 0.232 0.000 1


No. 8
# Sr8Tl2Rh PBE relaxed
# - uncorrected energy (eV/atom) = -2.5327
# - energy of formation (meV/atom) = -211
# - energy above the most stable polymorph in this dataset (meV per atom) = 0
data_Sr8Tl2Rh
_space_group_name_H-M_alt 'P 1'
_space_group_IT_number 1
_cell_length_a 5.877
_cell_length_b 7.670
_cell_length_c 10.412
_cell_angle_alpha 107.29
_cell_angle_beta 106.39
_cell_angle_gamma 90.00
loop_
_space_group_symop_operation_xyz
'x,y,z'
loop_
_atom_site_label
_atom_site_type_symbol
_atom_site_fract_x
_atom_site_fract_y
_atom_site_fract_z
_atom_site_occupancy
Rh1 Rh 0.500 0.000 0.000 1
Sr1 Sr 0.648 0.952 0.297 1
Sr2 Sr 0.025 0.796 0.050 1
Sr3 Sr 0.790 0.704 0.581 1
Tl1 Tl 0.818 0.286 0.635 1
Sr4 Sr 0.591 0.410 0.182 1
Sr5 Sr 0.352 0.048 0.703 1
Tl2 Tl 0.182 0.714 0.365 1
Sr6 Sr 0.409 0.590 0.818 1
Sr7 Sr 0.975 0.204 0.950 1
Sr8 Sr 0.210 0.296 0.419 1


No. 9
# Sr3Tl6Rh5 PBE relaxed
# - uncorrected energy (eV/atom) = -4.1953
# - energy of formation (meV/atom) = -195
data_Sr3Tl6Rh5
_space_group_name_H-M_alt 'P 1'
_space_group_IT_number 1
_cell_length_a 4.575
_cell_length_b 10.120
_cell_length_c 14.200
_cell_angle_alpha 90.00
_cell_angle_beta 90.00
_cell_angle_gamma 90.00
loop_
_space_group_symop_operation_xyz
'x,y,z'
loop_
_atom_site_label
_atom_site_type_symbol
_atom_site_fract_x
_atom_site_fract_y
_atom_site_fract_z
_atom_site_occupancy
Sr1 Sr 0.500 0.751 0.197 1
Rh1 Rh 0.500 0.136 0.160 1
Tl1 Tl 0.500 0.020 0.656 1
Rh2 Rh 0.000 0.787 0.000 1
Sr2 Sr 0.000 0.272 0.000 1
Tl2 Tl 0.000 0.590 0.318 1
Sr3 Sr 0.000 0.249 0.697 1
Tl3 Tl 0.000 0.980 0.156 1
Tl4 Tl 0.500 0.410 0.182 1
Tl5 Tl 0.500 0.410 0.818 1
Rh3 Rh 0.000 0.864 0.660 1
Tl6 Tl 0.000 0.401 0.500 1
Rh4 Rh 0.000 0.552 0.108 1
Tl7 Tl 0.000 0.029 0.500 1
Tl8 Tl 0.500 0.020 0.344 1
Sr4 Sr 0.000 0.249 0.303 1
Rh5 Rh 0.500 0.136 0.840 1
Rh6 Rh 0.500 0.448 0.608 1
Tl9 Tl 0.000 0.980 0.844 1
Rh7 Rh 0.000 0.864 0.340 1
Rh8 Rh 0.500 0.448 0.392 1
Rh9 Rh 0.000 0.552 0.892 1
Sr5 Sr 0.500 0.751 0.803 1
Tl10 Tl 0.000 0.590 0.682 1
Tl11 Tl 0.500 0.599 0.000 1
Tl12 Tl 0.500 0.971 0.000 1
Rh10 Rh 0.500 0.213 0.500 1
Sr6 Sr 0.500 0.728 0.500 1